VASP calculation (PBE-GGA) on a relaxed structure of Mg7Al2In2.

Cell: 5.6304 5.6304 8.1348 Å, 99.51 99.51 95.38°
With the nearest neighbours (Å) after each atom.
Fractional positions:
Mg: 0.9264 0.5601 0.2176  1 Al 2.90, 2 In 2.98-2.99, 2 Mg 3.05-3.23
Mg: 0.4399 0.0736 0.7824  1 Al 2.90, 2 In 2.98-2.99, 2 Mg 3.05-3.23
Mg: 0.0736 0.4399 0.7824  1 Al 2.90, 2 In 2.98-2.99, 2 Mg 3.05-3.23
Mg: 0.5601 0.9264 0.2176  1 Al 2.90, 2 In 2.98-2.99, 2 Mg 3.05-3.23
Mg: 0.0000 0.0000 0.0000  2 In 2.94, 2 Mg 3.21
Mg: 0.8580 0.8580 0.5946  4 Mg 2.94-3.23, 4 Al 2.98-3.14, 1 In 3.17
Mg: 0.1420 0.1420 0.4054  4 Mg 2.94-3.23, 4 Al 2.98-3.14, 1 In 3.17
Al: 0.3333 0.6667 0.5000  1 Al 2.78, 4 Mg 2.90-2.98
Al: 0.6667 0.3333 0.5000  1 Al 2.78, 4 Mg 2.90-2.98
In: 0.6055 0.6055 0.8529  8 Mg 2.94-3.27, 2 Al 3.11, 1 In 3.19
In: 0.3945 0.3945 0.1471  8 Mg 2.94-3.27, 2 Al 3.11, 1 In 3.19

Computed properties:
**ΔE to the lowest computed polymorph**: 0.000 eV/atom
**ΔE_f**: 0.020 eV/atom
**Magnetization**: 0.0000 μB/atom
**DOS(E_F)**: 3.59 states/eV per cell